Here is crystalline MgV2O4 at its relaxed geometry from the Alexandria database. Energies are from PBE with a Hubbard U.

Unit cell a=6.048 b=6.048 c=14.789 alpha=90.33 beta=90.33 gamma=60.45
Sites, in units of the cell vectors:
Mg 0.336 0.336 0.042
Mg 0.666 0.666 0.333
Mg 0.833 0.833 0.166
Mg 0.331 0.331 0.667
Mg 0.499 0.499 0.500
Mg 0.166 0.166 0.833
V 0.832 0.330 0.167
V 0.002 0.002 0.378
V 0.998 0.998 0.003
V 0.330 0.832 0.167
V 0.499 0.999 0.500
V 0.668 0.668 0.709
V 0.999 0.499 0.500
V 0.167 0.662 0.833
V 0.328 0.328 0.289
V 0.662 0.167 0.833
V 0.995 0.995 0.623
V 0.661 0.661 0.959
O 0.693 0.158 0.087
O 0.003 0.003 0.245
O 0.158 0.693 0.087
O 0.153 0.153 0.085
O 0.352 0.829 0.421
O 0.505 0.505 0.247
O 0.668 0.668 0.576
O 0.503 0.979 0.246
O 0.829 0.352 0.421
O 0.661 0.661 0.091
O 0.825 0.825 0.421
O 0.979 0.503 0.246
O 0.017 0.495 0.754
O 0.172 0.172 0.579
O 0.168 0.646 0.579
O 0.495 0.017 0.754
O 0.337 0.337 0.906
O 0.329 0.329 0.423
O 0.492 0.492 0.753
O 0.646 0.168 0.579
O 0.841 0.841 0.917
O 0.837 0.310 0.914
O 0.994 0.994 0.758
O 0.310 0.837 0.914

distance to the lowest polymorph of the same formula: 20 meV per atom
M_tot: 4.00 μB per formula unit
space group: Cm, No. 8
E: -0.5456 Ry/atom